# PBE TaCd2Au, optimized geometry
data_TaCd2Au
_chemical_formula_sum 'Ta2 Cd4 Au2'
_cell_length_a 4.275
_cell_length_b 4.275
_cell_length_c 8.539
_cell_angle_alpha 90.00
_cell_angle_beta 90.00
_cell_angle_gamma 90.00
_symmetry_space_group_name_H-M 'I 4/m m m'
_symmetry_Int_Tables_number 139
_symmetry_space_group_name_Hall '-I 4 2'
loop_
_atom_site_label
_atom_site_type_symbol
_atom_site_fract_x
_atom_site_fract_y
_atom_site_fract_z
Ta1 Ta 0.000 0.000 0.000
Cd1 Cd 0.000 0.500 0.250
Au1 Au 0.000 0.000 0.500
# ρ = 12.83 Mg/m³
# total moment = 2.90 μB per cell
# E = -30.64 eV for the cell shown

# PBE Ta4CdAu, optimized geometry
data_Ta4CdAu
_chemical_formula_sum 'Ta16 Cd4 Au4'
_cell_length_a 7.766
_cell_length_b 7.766
_cell_length_c 7.766
_cell_angle_alpha 90.00
_cell_angle_beta 90.00
_cell_angle_gamma 90.00
_symmetry_space_group_name_H-M 'F -4 3 m'
_symmetry_Int_Tables_number 216
_symmetry_space_group_name_Hall 'F -4 2 3'
loop_
_atom_site_label
_atom_site_type_symbol
_atom_site_fract_x
_atom_site_fract_y
_atom_site_fract_z
Ta1 Ta 0.124 0.124 0.376
Cd1 Cd 0.250 0.250 0.750
Au1 Au 0.000 0.000 0.000
# ρ = 14.65 Mg/m³
# total moment = 0.00 μB per cell
# E = -196.07 eV for the cell shown

# PBE Ta2CdAu, optimized geometry
data_Ta2CdAu
_chemical_formula_sum 'Ta4 Cd2 Au2'
_cell_length_a 4.117
_cell_length_b 4.117
_cell_length_c 8.729
_cell_angle_alpha 90.00
_cell_angle_beta 90.00
_cell_angle_gamma 90.00
_symmetry_space_group_name_H-M 'I -4 m 2'
_symmetry_Int_Tables_number 119
_symmetry_space_group_name_Hall 'I -4 -2'
loop_
_atom_site_label
_atom_site_type_symbol
_atom_site_fract_x
_atom_site_fract_y
_atom_site_fract_z
Ta1 Ta 0.000 0.000 0.000
Ta2 Ta 0.000 0.500 0.250
Cd1 Cd 0.000 0.000 0.500
Au1 Au 0.000 0.500 0.750
# ρ = 15.07 Mg/m³
# total moment = 0.88 μB per cell
# E = -53.47 eV for the cell shown

# PBE TaCd2Au, optimized geometry
data_TaCd2Au
_chemical_formula_sum 'Ta3 Cd6 Au3'
_cell_length_a 2.9941
_cell_length_b 2.9941
_cell_length_c 29.8750
_cell_angle_alpha 90.00
_cell_angle_beta 90.00
_cell_angle_gamma 120.00
_symmetry_space_group_name_H-M 'R -3 m'
_symmetry_Int_Tables_number 166
_symmetry_space_group_name_Hall '-R 3 2"'
loop_
_atom_site_label
_atom_site_type_symbol
_atom_site_fract_x
_atom_site_fract_y
_atom_site_fract_z
Ta1 Ta 0.0000 0.0000 0.0000
Cd1 Cd 0.0000 0.0000 0.2481
Au1 Au 0.0000 0.0000 0.5000
# ρ = 12.95 Mg/m³
# total moment = 0.69 μB per cell
# E = -49.10 eV for the cell shown

# PBE TaCd3Au, optimized geometry
data_TaCd3Au
_chemical_formula_sum 'Ta1 Cd3 Au1'
_cell_length_a 5.151
_cell_length_b 5.151
_cell_length_c 5.151
_cell_angle_alpha 90.00
_cell_angle_beta 90.00
_cell_angle_gamma 90.00
_symmetry_space_group_name_H-M 'P m -3 m'
_symmetry_Int_Tables_number 221
_symmetry_space_group_name_Hall '-P 4 2 3'
loop_
_atom_site_label
_atom_site_type_symbol
_atom_site_fract_x
_atom_site_fract_y
_atom_site_fract_z
Ta1 Ta 0.000 0.000 0.000
Cd1 Cd 0.000 0.500 0.500
Au1 Au 0.500 0.500 0.500
# ρ = 8.69 Mg/m³
# total moment = 3.24 μB per cell
# E = -12.46 eV for the cell shown

# PBE Ta2CdAu, optimized geometry
data_Ta2CdAu
_chemical_formula_sum 'Ta2 Cd1 Au1'
_cell_length_a 2.871
_cell_length_b 2.871
_cell_length_c 9.041
_cell_angle_alpha 90.00
_cell_angle_beta 90.00
_cell_angle_gamma 90.00
_symmetry_space_group_name_H-M 'P 4 m m'
_symmetry_Int_Tables_number 99
loop_
_symmetry_equiv_pos_as_xyz
'x,y,z'
'-y,x,z'
'-x,-y,z'
'y,-x,z'
'-x,y,z'
'y,x,z'
'x,-y,z'
'-y,-x,z'
loop_
_atom_site_label
_atom_site_type_symbol
_atom_site_fract_x
_atom_site_fract_y
_atom_site_fract_z
Ta1 Ta 0.000 0.000 0.000
Ta2 Ta 0.500 0.500 0.250
Cd1 Cd 0.500 0.500 0.737
Au1 Au 0.000 0.000 0.483
# ρ = 14.96 Mg/m³
# total moment = 0.00 μB per cell
# E = -27.82 eV for the cell shown